Version one
Compound: Ta3FeCl
Source: Alexandria via LeMat-Bulk
Functional: PBE-GGA
Structure: optimized geometry

The structure in extended XYZ format:
```
5
Lattice="4.651 0.000 0.000 0.000 4.651 0.000 0.000 0.000 4.651" Properties=species:S:1:pos:R:3 pbc="T T T"
Ta 0.000 0.000 2.325
Ta 0.000 2.325 0.000
Ta 2.325 0.000 0.000
Fe 0.000 0.000 0.000
Cl 2.325 2.325 2.325
```

Values from the calculation:
- Size of the total moment: 0.00 μB/atom

Version two
Compound: Ta3FeCl
Source: Alexandria via LeMat-Bulk
Functional: PBE-GGA
Structure: optimized geometry

The structure in extended XYZ format:
```
5
Lattice="4.466 0.000 0.000 0.000 4.466 0.000 0.000 0.000 4.466" Properties=species:S:1:pos:R:3 pbc="T T T"
Ta 0.000 0.000 2.233
Ta 0.000 2.233 0.000
Ta 2.233 0.000 0.000
Cl 0.000 0.000 0.000
Fe 2.233 2.233 2.233
```

Values from the calculation:
- Size of the total moment: 0.00 μB/atom

Of them, version one has the highest stability.

Version one
Compound: TaFe3Cl
Source: Alexandria via LeMat-Bulk
Functional: PBE-GGA
Structure: optimized geometry

The structure in extended XYZ format:
```
5
Lattice="4.110 0.000 0.000 0.000 4.110 0.000 0.000 0.000 4.110" Properties=species:S:1:pos:R:3 pbc="T T T"
Ta 2.055 2.055 2.055
Fe 0.000 2.055 0.000
Fe 0.000 0.000 2.055
Fe 2.055 0.000 0.000
Cl 0.000 0.000 0.000
```

Values from the calculation:
- Size of the total moment: 0.74 μB/atom

Version two
Compound: TaFe3Cl
Source: Alexandria via LeMat-Bulk
Functional: PBE-GGA
Structure: optimized geometry

The structure in extended XYZ format:
```
5
Lattice="-3.510 -2.816 -1.216 0.004 -1.852 4.277 -3.067 3.220 1.397" Properties=species:S:1:pos:R:3 pbc="T T T"
Fe -1.755 -1.408 -0.608
Fe 0.002 -0.926 2.139
Fe -1.534 1.610 0.698
Ta 0.000 0.000 0.000
Cl -3.286 -0.724 2.229
```

Values from the calculation:
- Size of the total moment: 1.12 μB/atom

Of them, version one has the highest stability.

Version one
Compound: Fe2TcCl
Source: Alexandria via LeMat-Bulk
Functional: PBE-GGA
Structure: optimized geometry

The structure in extended XYZ format:
```
4
Lattice="5.007 0.000 0.000 2.434 4.376 0.000 -3.721 -2.188 2.538" Properties=species:S:1:pos:R:3 pbc="T T T"
Cl 2.504 0.000 1.269
Fe 0.000 0.000 0.000
Fe 3.721 2.188 0.000
Tc 1.217 2.188 1.269
```

Values from the calculation:
- Size of the total moment: 1.28 μB/atom

Version two
Compound: Fe2TcCl
Source: Alexandria via LeMat-Bulk
Functional: PBE-GGA
Structure: optimized geometry

The structure in extended XYZ format:
```
4
Lattice="2.793 0.000 0.000 0.000 2.793 0.000 0.000 0.000 7.045" Properties=species:S:1:pos:R:3 pbc="T T T"
Fe 0.000 0.000 3.504
Fe 0.000 0.000 0.019
Cl 1.397 1.397 5.284
Tc 1.397 1.397 1.761
```

Values from the calculation:
- Size of the total moment: 1.10 μB/atom

Version three
Compound: Fe2TcCl
Source: Alexandria via LeMat-Bulk
Functional: PBE-GGA
Structure: optimized geometry

The structure in extended XYZ format:
```
4
Lattice="4.256 0.000 0.000 2.128 3.686 0.000 2.128 1.229 3.475" Properties=species:S:1:pos:R:3 pbc="T T T"
Fe 2.128 1.229 0.869
Fe 6.385 3.686 2.607
Cl 0.000 0.000 0.000
Tc 4.256 2.457 1.738
```

Values from the calculation:
- Size of the total moment: 0.73 μB/atom

Of them, version two has the highest stability.

Version one
Compound: Fe2TcCl
Source: Alexandria via LeMat-Bulk
Functional: PBE-GGA
Structure: optimized geometry

The structure in extended XYZ format:
```
4
Lattice="4.186 0.000 0.000 0.000 3.686 0.000 0.000 0.000 3.686" Properties=species:S:1:pos:R:3 pbc="T T T"
Fe 0.000 1.843 1.843
Fe 0.000 0.000 0.000
Tc 2.093 1.843 0.000
Cl 2.093 0.000 1.843
```

Values from the calculation:
- Size of the total moment: 1.73 μB/atom

Version two
Compound: Fe2TcCl
Source: Alexandria via LeMat-Bulk
Functional: PBE-GGA
Structure: optimized geometry

The structure in extended XYZ format:
```
4
Lattice="4.672 0.000 0.000 1.582 4.397 0.000 -3.127 -2.198 2.687" Properties=species:S:1:pos:R:3 pbc="T T T"
Fe 0.000 0.000 0.000
Fe 0.791 2.198 1.344
Tc 3.127 2.198 0.000
Cl 2.336 0.000 1.344
```

Values from the calculation:
- Size of the total moment: 1.28 μB/atom

Of them, version two has the highest stability.